No. 1
! Nd8Zn2Ni PBE-GGA relaxed; values from VASP
! Space group   C2/m
! ΔE to the lowest computed polymorph   0.000 eV per atom
&SYSTEM
  ibrav = 0, nat = 11, ntyp = 3
/
ATOMIC_SPECIES
Nd 144.24 Nd.upf
Zn 65.41 Zn.upf
Ni 58.69 Ni.upf
ATOMIC_POSITIONS angstrom
Nd 0.079 0.000 1.870
Nd 2.551 0.000 5.462
Nd 5.521 0.000 3.620
Nd 7.360 0.000 0.388
Nd 9.396 0.000 6.321
Nd 11.235 0.000 3.090
Nd 14.205 0.000 1.248
Nd 16.677 0.000 4.839
Zn 3.167 0.000 1.650
Zn 13.590 0.000 5.060
Ni 8.378 0.000 3.355
CELL_PARAMETERS angstrom
9.062 -2.606 0.000
9.062 2.606 0.000
-1.368 0.000 6.710

No. 2
! AlPtSe PBE-GGA relaxed; values from VASP
! Space group   P3m1
! ΔE to the lowest computed polymorph   0.249 eV per atom
! ΔE_f (raw)   -0.37 eV/atom
&SYSTEM
  ibrav = 0, nat = 3, ntyp = 3
/
ATOMIC_SPECIES
Al 26.98 Al.upf
Pt 195.08 Pt.upf
Se 78.96 Se.upf
ATOMIC_POSITIONS angstrom
Al 0.000 0.000 0.000
Pt 0.000 2.067 1.439
Se 1.790 1.033 3.242
CELL_PARAMETERS angstrom
3.580 0.000 0.000
-1.790 3.100 0.000
0.000 0.000 4.914

No. 3
! Sc2Ir PBE-GGA relaxed; values from VASP
! Space group   Fd-3m
! E_tot   -41.86 eV/cell
&SYSTEM
  ibrav = 0, nat = 6, ntyp = 2
/
ATOMIC_SPECIES
Sc 44.96 Sc.upf
Ir 192.22 Ir.upf
ATOMIC_POSITIONS angstrom
Sc 0.000 0.000 0.000
Sc 1.892 1.892 0.000
Sc 1.892 0.000 1.892
Sc 0.000 1.892 1.892
Ir 2.837 2.837 2.837
Ir 4.729 4.729 4.729
CELL_PARAMETERS angstrom
0.000 3.783 3.783
3.783 0.000 3.783
3.783 3.783 0.000

No. 4
! Ca2ThUP4 PBE-GGA relaxed; values from VASP
! Space group   P2/m
! E_tot   -54.08 eV/cell
&SYSTEM
  ibrav = 0, nat = 8, ntyp = 4
/
ATOMIC_SPECIES
Ca 40.08 Ca.upf
Th 232.04 Th.upf
U 238.03 U.upf
P 30.97 P.upf
ATOMIC_POSITIONS angstrom
Ca 0.000 0.000 0.000
Ca -1.193 2.057 3.359
Th 2.350 0.000 3.359
U 3.543 2.057 0.000
P 1.292 2.057 1.641
P 0.085 0.000 5.147
P 4.615 0.000 1.572
P 3.409 2.057 5.078
CELL_PARAMETERS angstrom
7.086 0.000 0.000
0.000 4.114 0.000
-2.386 0.000 6.719

No. 5
! RbYPb PBE-GGA relaxed; values from VASP
! Space group   Amm2
! ΔE to the lowest computed polymorph   0.200 eV per atom
&SYSTEM
  ibrav = 0, nat = 6, ntyp = 3
/
ATOMIC_SPECIES
Rb 85.47 Rb.upf
Y 88.91 Y.upf
Pb 207.20 Pb.upf
ATOMIC_POSITIONS angstrom
Rb 0.000 0.000 0.000
Rb 2.479 0.000 3.425
Y 0.000 -3.062 4.520
Y 0.000 3.062 4.520
Pb 2.479 -3.913 2.728
Pb 2.479 3.913 2.728
CELL_PARAMETERS angstrom
4.957 0.000 0.000
0.000 7.088 3.688
0.000 -7.088 3.688

No. 6
! CuOsRh2 PBE-GGA relaxed; values from VASP
! Space group   C2/m
! ΔE to the lowest computed polymorph   0.110 eV per atom
&SYSTEM
  ibrav = 0, nat = 4, ntyp = 3
/
ATOMIC_SPECIES
Cu 63.55 Cu.upf
Os 190.23 Os.upf
Rh 102.91 Rh.upf
ATOMIC_POSITIONS angstrom
Cu 0.000 0.000 0.000
Os 4.077 0.000 2.301
Rh 1.653 0.000 3.447
Rh 6.502 0.000 1.156
CELL_PARAMETERS angstrom
4.454 -1.342 0.000
4.454 1.342 0.000
-0.754 0.000 4.603

No. 7
! PmSm2Y2Ho4 PBE-GGA relaxed; values from VASP
! Space group   C2/m
! E_tot   -45.47 eV/cell
&SYSTEM
  ibrav = 0, nat = 9, ntyp = 4
/
ATOMIC_SPECIES
Pm 145.00 Pm.upf
Sm 150.36 Sm.upf
Y 88.91 Y.upf
Ho 164.93 Ho.upf
ATOMIC_POSITIONS angstrom
Pm 0.000 0.000 0.000
Sm 2.084 0.000 8.606
Sm 12.463 0.000 0.016
Y -0.009 0.000 5.724
Y 14.555 0.000 2.898
Ho 2.073 0.000 2.902
Ho 6.230 0.000 5.732
Ho 8.317 0.000 2.890
Ho 12.473 0.000 5.720
CELL_PARAMETERS angstrom
9.351 -1.802 0.000
9.351 1.802 0.000
-4.155 0.000 8.622

No. 8
! LaPmPrTh PBE-GGA relaxed; values from VASP
! Space group   F-43m
! ΔE to the lowest computed polymorph   0.149 eV per atom
&SYSTEM
  ibrav = 0, nat = 4, ntyp = 4
/
ATOMIC_SPECIES
La 138.91 La.upf
Pm 145.00 Pm.upf
Pr 140.91 Pr.upf
Th 232.04 Th.upf
ATOMIC_POSITIONS angstrom
La 0.000 0.000 0.000
Pm 2.061 2.061 2.061
Pr 6.182 6.182 6.182
Th 4.122 4.122 4.122
CELL_PARAMETERS angstrom
0.000 4.122 4.122
4.122 0.000 4.122
4.122 4.122 0.000

No. 9
! SrPaSb PBE-GGA relaxed; values from VASP
! Space group   P4/mmm
! ΔE_f (raw)   -0.26 eV/atom
&SYSTEM
  ibrav = 0, nat = 6, ntyp = 3
/
ATOMIC_SPECIES
Sr 87.62 Sr.upf
Pa 231.04 Pa.upf
Sb 121.76 Sb.upf
ATOMIC_POSITIONS angstrom
Sr 0.000 0.000 1.615
Sr 0.000 0.000 8.493
Pa 2.137 2.137 3.785
Pa 2.137 2.137 6.323
Sb 0.000 0.000 5.054
Sb 2.137 2.137 0.000
CELL_PARAMETERS angstrom
4.274 0.000 0.000
0.000 4.274 0.000
0.000 0.000 10.108

No. 10
! ZrInRu2 PBE-GGA relaxed; values from VASP
! Space group   R-3m
! E_tot   -29.76 eV/cell
&SYSTEM
  ibrav = 0, nat = 4, ntyp = 3
/
ATOMIC_SPECIES
Zr 91.22 Zr.upf
In 114.82 In.upf
Ru 101.07 Ru.upf
ATOMIC_POSITIONS angstrom
Zr 0.000 0.000 0.000
In 0.000 0.000 12.472
Ru 0.000 0.000 6.306
Ru 0.000 0.000 18.639
CELL_PARAMETERS angstrom
1.586 0.916 8.315
-1.586 0.916 8.315
0.000 -1.831 8.315

No. 11
! CeSm4Cd5 PBE-GGA relaxed; values from VASP
! Space group   P4/mmm
! E_tot   -32.15 eV/cell
&SYSTEM
  ibrav = 0, nat = 10, ntyp = 3
/
ATOMIC_SPECIES
Ce 140.12 Ce.upf
Sm 150.36 Sm.upf
Cd 112.41 Cd.upf
ATOMIC_POSITIONS angstrom
Ce 0.000 0.000 0.000
Sm 0.000 0.000 3.869
Sm 0.000 0.000 7.670
Sm 0.000 0.000 11.476
Sm 0.000 0.000 15.278
Cd 1.905 1.905 1.987
Cd 1.905 1.905 5.767
Cd 1.905 1.905 9.573
Cd 1.905 1.905 13.380
Cd 1.905 1.905 17.159
CELL_PARAMETERS angstrom
3.810 0.000 0.000
0.000 3.810 0.000
0.000 0.000 19.146

Number 1: total magnetization 0.000 μB per atom. Number 2: total magnetization 0.000 μB per atom. Number 3: total magnetization 0.000 μB per atom. Number 4: total magnetization 0.236 μB per atom. Number 5: total magnetization 0.121 μB per atom. Number 6: total magnetization 0.000 μB per atom. Number 7: total magnetization 0.000 μB per atom. Number 8: total magnetization 0.001 μB per atom. Number 9: total magnetization 0.188 μB per atom. Number 10: total magnetization 0.001 μB per atom. Number 11: total magnetization 0.299 μB per atom.